Entry 1:
Below is an optimized crystal structure of BaNaLuTe3, with properties calculated at the GGA-PBE level.

It has space group Pnma (No. 62), with a = 15.355 Å, b = 4.608 Å, c = 11.577 Å, α = 90.00°, β = 90.00° and γ = 90.00°. The inequivalent atoms are Ba at (0.235, 0.250, 0.047), Na at (0.005, 0.750, 0.092), Lu at (0.018, 0.250, 0.336), Te at (0.096, 0.250, 0.573), Te at (0.114, 0.750, 0.867) and Te at (0.145, 0.750, 0.267).

The calculation puts the raw total energy at -4.1955 eV per atom. As for the total magnetization: 0.00 μB/f.u. For the distance to the lowest polymorph of the same formula, the calculation gives 0 meV/atom.



Entry 2:
Below is an optimized crystal structure of BaNaLuTe3, with properties calculated at the GGA-PBE level.

It has space group Cmcm (No. 63), with a = 4.637 Å, b = 15.140 Å, c = 11.473 Å, α = 90.00°, β = 90.00° and γ = 90.00°. The inequivalent atoms are Ba at (0.000, 0.247, 0.250), Na at (0.000, 0.471, 0.750), Lu at (0.000, 0.000, 0.000), Te at (0.000, 0.082, 0.750) and Te at (0.000, 0.363, 0.541).

The calculation puts the raw total energy at -4.1841 eV per atom. As for the total magnetization: 0.00 μB/f.u. For the distance to the lowest polymorph of the same formula, the calculation gives 11 meV/atom.



Entry 3:
Below is an optimized crystal structure of BaLuNb2, with properties calculated at the GGA-PBE level.

It has space group F-43m (No. 216), with a = 7.349 Å, b = 7.349 Å, c = 7.349 Å, α = 90.00°, β = 90.00° and γ = 90.00°. The inequivalent atoms are Ba at (0.000, 0.000, 0.000), Lu at (0.250, 0.250, 0.250), Nb at (0.000, 0.000, 0.500) and Nb at (0.250, 0.250, 0.750).

The calculation puts the raw total energy at -5.8102 eV per atom. As for the total magnetization: 0.12 μB/f.u.



Entry 4:
Below is an optimized crystal structure of Ba2LuNb, with properties calculated at the GGA-PBE level.

It has space group F-43m (No. 216), with a = 8.263 Å, b = 8.263 Å, c = 8.263 Å, α = 90.00°, β = 90.00° and γ = 90.00°. The inequivalent atoms are Ba at (0.000, 0.000, 0.000), Ba at (0.250, 0.250, 0.250), Lu at (0.250, 0.250, 0.750) and Nb at (0.000, 0.000, 0.500).

The calculation puts the raw total energy at -3.8293 eV per atom. As for the total magnetization: 2.85 μB/f.u.



Entry 5:
Below is an optimized crystal structure of BaLuNb, with properties calculated at the GGA-PBE level.

It has space group F-43m (No. 216), with a = 7.322 Å, b = 7.322 Å, c = 7.322 Å, α = 90.00°, β = 90.00° and γ = 90.00°. The inequivalent atoms are Ba at (0.000, 0.000, 0.000), Lu at (0.250, 0.250, 0.750) and Nb at (0.250, 0.250, 0.250).

The calculation puts the raw total energy at -3.8511 eV per atom. As for the total magnetization: 2.30 μB/f.u.



Entry 6:
Below is an optimized crystal structure of BaLuO3, with properties calculated at the GGA-PBE level.

It has space group R-3 (No. 148, hexagonal axes), with a = 6.0496 Å, b = 6.0496 Å, c = 16.3134 Å, α = 90.00°, β = 90.00° and γ = 120.00°. The inequivalent atoms are Ba at (0.0000, 0.0000, 0.1271), Lu at (0.0000, 0.0000, 0.3455) and O at (0.0200, 0.6055, 0.9273).

The calculation puts the raw total energy at -6.9814 eV per atom. As for the total magnetization: 1.00 μB/f.u.



Entry 7:
Below is an optimized crystal structure of BaLu2O4, with properties calculated at the GGA-PBE level.

It has space group Fd-3m (No. 227, origin choice 2), with a = 9.753 Å, b = 9.753 Å, c = 9.753 Å, α = 90.00°, β = 90.00° and γ = 90.00°. The inequivalent atoms are Ba at (0.125, 0.125, 0.125), Lu at (0.000, 0.000, 0.500) and O at (0.022, 0.022, 0.728).

The calculation puts the raw total energy at -7.7341 eV per atom. As for the total magnetization: 0.00 μB/f.u. For the distance to the lowest polymorph of the same formula, the calculation gives 19 meV/atom.



Entry 8:
Below is an optimized crystal structure of BaLu2O4, with properties calculated at the GGA-PBE level.

It has space group P6_322 (No. 182), with a = 5.9684 Å, b = 5.9684 Å, c = 8.9731 Å, α = 90.00°, β = 90.00° and γ = 120.00°. The inequivalent atoms are Ba at (0.0000, 0.0000, 0.2500), Lu at (0.3333, 0.6667, 0.0296), O at (0.0000, 0.3078, 0.5000) and O at (0.3333, 0.6667, 0.2500).

The calculation puts the raw total energy at -7.4866 eV per atom. As for the total magnetization: 0.00 μB/f.u. For the distance to the lowest polymorph of the same formula, the calculation gives 266 meV/atom.



Entry 9:
Below is an optimized crystal structure of BaLuPO, with properties calculated at the GGA-PBE level.

It has space group Pmc2_1 (No. 26), with a = 4.571 Å, b = 7.501 Å, c = 6.516 Å, α = 90.00°, β = 90.00° and γ = 90.00°. The inequivalent atoms are Ba at (0.000, 0.203, 0.000), Lu at (0.500, 0.381, 0.580), P at (0.000, 0.224, 0.489) and O at (0.500, 0.381, 0.907).

The calculation puts the raw total energy at -6.2806 eV per atom. As for the total magnetization: 0.00 μB/f.u. For the distance to the lowest polymorph of the same formula, the calculation gives 0 meV/atom.



Entry 10:
Below is an optimized crystal structure of BaLuPO, with properties calculated at the GGA-PBE level.

It has space group Pmc2_1 (No. 26), with a = 3.925 Å, b = 6.848 Å, c = 7.426 Å, α = 90.00°, β = 90.00° and γ = 90.00°. The inequivalent atoms are Ba at (0.000, 0.064, 0.000), Lu at (0.500, 0.388, 0.364), P at (0.500, 0.260, 0.712) and O at (0.000, 0.274, 0.297).

The calculation puts the raw total energy at -6.0673 eV per atom. As for the total magnetization: 0.01 μB/f.u. For the distance to the lowest polymorph of the same formula, the calculation gives 213 meV/atom.



Entry 11:
Below is an optimized crystal structure of BaLuPO, with properties calculated at the GGA-PBE level.

It has space group P4/nmm (No. 129, origin choice 2), with a = 4.670 Å, b = 4.670 Å, c = 9.809 Å, α = 90.00°, β = 90.00° and γ = 90.00°. The inequivalent atoms are Ba at (0.250, 0.750, 0.000), Lu at (0.250, 0.250, 0.454), P at (0.250, 0.250, 0.194) and O at (0.250, 0.750, 0.500).

The calculation puts the raw total energy at -5.7635 eV per atom. As for the total magnetization: 0.00 μB/f.u. For the distance to the lowest polymorph of the same formula, the calculation gives 517 meV/atom.



Entry 12:
Below is an optimized crystal structure of BaLuPO, with properties calculated at the GGA-PBE level.

It has space group P4/nmm (No. 129, origin choice 2), with a = 4.842 Å, b = 4.842 Å, c = 9.578 Å, α = 90.00°, β = 90.00° and γ = 90.00°. The inequivalent atoms are Ba at (0.250, 0.250, 0.101), Lu at (0.250, 0.750, 0.500), P at (0.250, 0.250, 0.616) and O at (0.250, 0.750, 0.000).

The calculation puts the raw total energy at -5.7611 eV per atom. As for the total magnetization: 0.13 μB/f.u. For the distance to the lowest polymorph of the same formula, the calculation gives 519 meV/atom.